NaAc2NbO6 (GGA-PBE, optimized geometry); energy relative to the elements, uncorrected = -2803 meV/atom
1.0
5.267 0.000 0.000
0.000 5.607 0.000
0.000 0.000 5.607
Ac O Na Nb
2 6 1 1
direct
0.011 0.500 0.000
0.011 0.000 0.500
0.725 0.770 0.770
0.725 0.770 0.230
0.725 0.230 0.230
0.137 0.500 0.500
0.226 0.000 0.000
0.725 0.230 0.770
0.567 0.500 0.500
0.592 0.000 0.000

NaAcNb2O8 (GGA-PBE, optimized geometry); energy relative to the elements, uncorrected = -2239 meV/atom
1.0
-3.413 5.001 -2.547
-3.562 -4.099 3.695
4.615 2.592 3.889
Ac O Nb Na
1 8 2 1
direct
0.000 0.000 0.000
0.907 0.599 0.692
0.401 0.093 0.308
0.485 0.669 0.815
0.331 0.146 0.815
0.907 0.215 0.308
0.785 0.093 0.692
0.331 0.515 0.185
0.854 0.669 0.185
0.500 0.500 0.000
0.750 0.250 0.500
0.250 0.750 0.500

Na3Ac3NbO8 (GGA-PBE, optimized geometry); energy relative to the elements, uncorrected = -2503 meV/atom
1.0
-3.298 -4.647 -4.542
4.075 -2.537 5.483
-6.232 3.187 1.264
Ac Na O Nb
3 3 8 1
direct
0.500 0.000 0.500
0.000 0.500 0.500
0.500 0.500 0.500
0.500 0.500 0.000
0.000 0.500 0.000
0.000 0.000 0.000
0.791 0.993 0.696
0.797 0.007 0.304
0.203 0.406 0.696
0.748 0.495 0.743
0.797 0.594 0.304
0.203 0.993 0.696
0.252 0.505 0.257
0.209 0.007 0.304
0.000 0.000 0.500

Na3Ac3NbS8 (GGA-PBE, optimized geometry); energy relative to the elements, uncorrected = -1582 meV/atom
1.0
-7.575 1.157 -3.528
0.993 -5.789 6.054
0.399 8.099 1.799
Nb Ac S Na
1 3 8 3
direct
0.000 0.000 0.500
0.000 0.500 0.500
0.500 0.500 0.500
0.500 0.000 0.500
0.783 0.000 0.717
0.217 0.000 0.283
0.217 0.000 0.717
0.783 0.000 0.283
0.251 0.502 0.252
0.217 0.434 0.717
0.749 0.498 0.748
0.783 0.566 0.283
0.500 0.500 0.000
0.000 0.000 0.000
0.000 0.500 0.000